DFT (PBE) results for a geometry-optimized RbSi2WAu structure.

Cell and atoms, written as CIF:
```
data_RbSi2WAu
_cell_length_a 4.8771
_cell_length_b 5.7331
_cell_length_c 4.8771
_cell_angle_alpha 90.00
_cell_angle_beta 90.00
_cell_angle_gamma 90.00
_space_group_name_H-M_alt 'P 1'
_space_group_IT_number 1
loop_
_space_group_symop_operation_xyz
'x,y,z'
loop_
_atom_site_label
_atom_site_type_symbol
_atom_site_fract_x
_atom_site_fract_y
_atom_site_fract_z
Si1 Si 0.0000 0.0000 0.5000
Si2 Si 0.5000 0.0000 0.0000
Au1 Au 0.0000 0.0000 0.0000
Rb1 Rb 0.0000 0.5000 0.0000
W1 W 0.5000 0.5000 0.5000
```

Output
The density of states at the Fermi level is 1.7 states/eV per cell. For the total energy, the calculation gives -3.891 eV/atom. Its volume is 136.4 Å³/cell.